! GGA-PBE La7Sm3Cd, optimized geometry; values from VASP
! - formation energy from the elements (kJ/mol of atoms) = 15.4
! - M_tot (μB per atom) = 0.0000
&SYSTEM
  ibrav = 0, nat = 11, ntyp = 3
/
ATOMIC_SPECIES
La 138.91 La.upf
Cd 112.41 Cd.upf
Sm 150.36 Sm.upf
ATOMIC_POSITIONS crystal
La 0.7188 0.4591 0.1140
La 0.2812 0.5409 0.8860
La 0.2005 0.2403 0.2403
La 0.2812 0.8860 0.5409
La 0.0000 0.5000 0.5000
La 0.7995 0.7597 0.7597
La 0.7188 0.1140 0.4591
Cd 0.5000 0.5000 0.5000
Sm 0.5000 0.0000 0.0000
Sm 0.0000 0.1640 0.8360
Sm 0.0000 0.8360 0.1640
CELL_PARAMETERS angstrom
6.5319 0.3719 -0.2913
-0.2690 7.8419 0.2678
0.4831 0.5441 7.8173